# 1
Material: KLiP2
Method: DFT, SCAN
State: PBEsol geometry

Cell lengths 3.5652, 3.5652, 6.4654 Å; angles 90.00, 90.00, 90.00 degrees
Element x y z (fractional)
K (0.0000, 0.0000, 0.0000)
Li (0.0000, 0.0000, 0.5000)
P (0.5000, 0.5000, 0.3418)
P (0.5000, 0.5000, 0.6582)

Magnetization   0.00 μB/f.u.
E   -8.359 eV/atom
Crystal system   tetragonal

---

# 2
Material: KLiP2S
Method: DFT, SCAN
State: PBEsol geometry

Cell lengths 5.2359, 5.2359, 5.3502 Å; angles 90.00, 90.00, 90.00 degrees
Element x y z (fractional)
K (0.0000, 0.0000, 0.0000)
Li (0.5000, 0.5000, 0.5000)
P (0.0000, 0.5000, 0.0000)
P (0.5000, 0.0000, 0.0000)
S (0.0000, 0.0000, 0.5000)

Magnetization   2.10 μB/f.u.
E   -6.895 eV/atom
Crystal system   tetragonal
Formation energy (no corrections)   1.334 eV/atom